1.
Entry from the Alexandria database: a relaxed structure of KHg2Rh (PBE).

## Properties
Energy relative to the lowest polymorph listed for this composition ... 175 meV per atom

```
8
Lattice="-2.844 2.844 8.790 2.844 -2.844 8.790 2.844 2.844 -8.790" Properties=species:S:1:pos:R:3 pbc="T T T"
K 0.000 0.000 0.000
K 0.000 2.844 4.395
Hg 1.422 -0.397 6.592
Hg 2.447 1.422 2.197
Hg 1.422 3.241 -2.197
Hg 0.397 1.422 10.987
Rh 2.844 0.000 4.395
Rh 0.000 0.000 8.790
```

---

2.
Entry from the Alexandria database: a relaxed structure of KHg2Rh (PBE).

## Properties
Energy relative to the lowest polymorph listed for this composition ... 23 meV per atom

```
4
Lattice="2.318 1.338 6.107 -2.318 1.338 6.107 0.000 -2.677 6.107" Properties=species:S:1:pos:R:3 pbc="T T T"
K 0.000 0.000 0.000
Hg 0.000 0.000 3.809
Hg 0.000 0.000 14.513
Rh 0.000 0.000 9.161
```

---

3.
Entry from the Alexandria database: a relaxed structure of KHg3Rh (PBE).

## Properties
Energy relative to the lowest polymorph listed for this composition ... 0 meV per atom

```
5
Lattice="5.321 0.000 0.000 0.000 5.321 0.000 0.000 0.000 5.321" Properties=species:S:1:pos:R:3 pbc="T T T"
K 0.000 0.000 0.000
Hg 0.000 2.660 2.660
Hg 2.660 0.000 2.660
Hg 2.660 2.660 0.000
Rh 2.660 2.660 2.660
```

---

4.
Entry from the Alexandria database: a relaxed structure of KHgRh3 (PBE).

## Properties
Energy relative to the lowest polymorph listed for this composition ... 0 meV per atom

```
5
Lattice="5.106 0.000 0.000 0.000 5.106 0.000 0.000 0.000 5.106" Properties=species:S:1:pos:R:3 pbc="T T T"
K 0.000 0.000 0.000
Hg 2.553 2.553 2.553
Rh 0.000 2.553 2.553
Rh 2.553 0.000 2.553
Rh 2.553 2.553 0.000
```

---

5.
Entry from the Alexandria database: a relaxed structure of KHg3Rh (PBE).

## Properties
Energy relative to the lowest polymorph listed for this composition ... 1271 meV per atom

```
5
Lattice="6.072 0.000 0.000 0.000 6.072 0.000 0.000 0.000 6.072" Properties=species:S:1:pos:R:3 pbc="T T T"
K 0.000 0.000 0.000
Hg 0.000 0.000 3.036
Hg 0.000 3.036 0.000
Hg 3.036 0.000 0.000
Rh 3.036 3.036 3.036
```

---

6.
Entry from the Alexandria database: a relaxed structure of KHg2Rh2 (PBE).

## Properties
Final energy ... -3.141 eV/atom

```
10
Lattice="8.233 0.000 0.000 0.000 8.233 0.000 0.000 0.000 3.028" Properties=species:S:1:pos:R:3 pbc="T T T"
K 0.000 0.000 0.000
K 4.116 4.116 0.000
Hg 1.471 2.646 1.514
Hg 2.646 6.762 1.514
Hg 5.587 1.471 1.514
Hg 6.762 5.587 1.514
Rh 0.937 5.053 0.000
Rh 3.180 0.937 0.000
Rh 5.053 7.296 0.000
Rh 7.296 3.180 0.000
```

---

7.
Entry from the Alexandria database: a relaxed structure of KHg2Rh (PBE).

## Properties
Energy relative to the lowest polymorph listed for this composition ... 235 meV per atom

```
4
Lattice="5.160 0.000 0.000 0.000 5.160 0.000 0.000 0.000 3.384" Properties=species:S:1:pos:R:3 pbc="T T T"
K 0.000 0.000 0.000
Hg 0.000 2.580 1.692
Hg 2.580 0.000 1.692
Rh 2.580 2.580 0.000
```

---

8.
Entry from the Alexandria database: a relaxed structure of K2Hg4Rh (PBE).

## Properties
Final energy ... -1.702 eV/atom

```
7
Lattice="-2.679 2.679 8.562 2.679 -2.679 8.562 2.679 2.679 -8.562" Properties=species:S:1:pos:R:3 pbc="T T T"
K 0.000 0.000 2.375
K 0.000 0.000 14.748
Hg 2.679 0.000 0.000
Hg 0.000 0.000 5.866
Hg 0.000 2.679 0.000
Hg 0.000 0.000 11.257
Rh 0.000 0.000 8.562
```